A plane-wave DFT calculation with GGA-PBE was carried out for an optimized crystal structure of Sr3BeV.

Cell lengths 5.8373, 5.8373, 5.8373 Å; angles 90.00, 90.00, 90.00 degrees
Closest atoms and distances in Å follow each position.
Space group Pm-3m (No. 221)
Asymmetric unit:
Sr: 0.0000 0.0000 0.5000 [3 per cell]  2 Be 2.92
Be: 0.0000 0.0000 0.0000 [1 per cell]  6 Sr 2.92
V: 0.5000 0.5000 0.5000 [1 per cell]  12 Sr 4.13

formation enthalpy at 0 K = 4.2 eV/f.u.
E above lowest polymorph = 0.0000 eV/atom
magnetic moment = 4.305 μB/f.u.